1.
Mg2CoCI: relaxed, PBE.

Results
* VASP energy: -19.55 eV/cell
* formation energy from raw total energies: 303 meV per atom

a = 5.1550 Å, b = 5.1550 Å, c = 3.6115 Å
α = 90.00°, β = 90.00°, γ = 90.00°
Space group P4/mmm (No. 123)
Asymmetric unit:
Mg  0.0000  0.5000  0.0000
Co  0.0000  0.0000  0.0000
C  0.0000  0.0000  0.5000
I  0.5000  0.5000  0.5000

2.
CoCI2N: relaxed, PBE.

Results
* VASP energy: -19.37 eV/cell
* formation energy from raw total energies: 1677 meV per atom

a = 5.3219 Å, b = 5.3219 Å, c = 3.4337 Å
α = 90.00°, β = 90.00°, γ = 90.00°
Space group P4/mmm (No. 123)
Asymmetric unit:
Co  0.0000  0.0000  0.0000
C  0.5000  0.5000  0.5000
I  0.0000  0.5000  0.0000
N  0.0000  0.0000  0.5000

3.
CoCIN2: relaxed, PBE.

Results
* VASP energy: -24.90 eV/cell
* formation energy from raw total energies: 1926 meV per atom

a = 3.4726 Å, b = 3.4726 Å, c = 8.2470 Å
α = 90.00°, β = 90.00°, γ = 90.00°
Space group P4/mmm (No. 123)
Asymmetric unit:
Co  0.0000  0.0000  0.0000
C  0.5000  0.5000  0.5000
I  0.0000  0.0000  0.5000
N  0.0000  0.5000  0.0000

4.
CoCIN2: relaxed, PBE.

Results
* VASP energy: -22.53 eV/cell
* formation energy from raw total energies: 2401 meV per atom

a = 3.3552 Å, b = 3.3552 Å, c = 7.1537 Å
α = 90.00°, β = 90.00°, γ = 90.00°
Space group P4/mmm (No. 123)
Asymmetric unit:
Co  0.0000  0.0000  0.0000
C  0.5000  0.5000  0.5000
I  0.5000  0.5000  0.0000
N  0.0000  0.5000  0.5000

5.
CoCI2N: relaxed, PBE.

Results
* VASP energy: -21.00 eV/cell
* formation energy from raw total energies: 1352 meV per atom

a = 7.5412 Å, b = 7.5412 Å, c = 2.6081 Å
α = 90.00°, β = 90.00°, γ = 90.00°
Space group P4/mmm (No. 123)
Asymmetric unit:
Co  0.0000  0.0000  0.0000
C  0.5000  0.5000  0.5000
I  0.0000  0.5000  0.5000
N  0.5000  0.5000  0.0000

| no. | calculated density (g/cm3) |
| --- | --- |
| 1 | 4.26 |
| 2 | 5.78 |
| 3 | 3.77 |
| 4 | 4.66 |
| 5 | 3.79 |